(1)
Compound: Pm2BeNi4P3
Source: Alexandria via LeMat-Bulk
Functional: GGA-PBE
Structure: relaxed

The structure in POSCAR format:
```
Pm2BeNi4P3
1.0
-2.297 3.179 0.345
-0.159 -0.537 3.897
7.544 5.337 1.044
Pm Be Ni P
2 1 4 3
Direct
0.500 0.000 0.252 Pm
0.000 0.500 0.748 Pm
0.500 0.500 0.500 Be
0.500 0.500 0.000 Ni
0.000 0.000 0.000 Ni
0.500 0.000 0.617 Ni
0.000 0.500 0.383 Ni
0.000 0.000 0.500 P
0.500 0.000 0.865 P
0.000 0.500 0.135 P
```

As for the formation energy: -0.9232 eV per atom. The calculation puts the theoretical density at 7.22 g cm⁻³.



(2)
Compound: Pm2BeNi3P4
Source: Alexandria via LeMat-Bulk
Functional: GGA-PBE
Structure: relaxed

The structure in POSCAR format:
```
Pm2BeNi3P4
1.0
4.007 0.000 0.000
0.000 4.007 0.000
0.000 0.000 9.251
Pm Be Ni P
2 1 3 4
Direct
0.500 0.000 0.247 Pm
0.000 0.500 0.753 Pm
0.500 0.500 0.500 Be
0.000 0.000 0.500 Ni
0.500 0.000 0.884 Ni
0.000 0.500 0.116 Ni
0.500 0.500 0.000 P
0.000 0.000 0.000 P
0.500 0.000 0.631 P
0.000 0.500 0.369 P
```

As for the formation energy: -0.8983 eV per atom. The calculation puts the theoretical density at 6.70 g cm⁻³.



(3)
Compound: BeNiPRu
Source: Alexandria via LeMat-Bulk
Functional: GGA-PBE
Structure: relaxed

The structure in POSCAR format:
```
BeNiPRu
1.0
3.952 0.000 0.000
1.976 3.423 0.000
1.976 1.141 3.227
Ru Be P Ni
1 1 1 1
Direct
0.250 0.250 0.250 Ru
0.500 0.500 0.500 Be
0.000 0.000 0.000 P
0.750 0.750 0.750 Ni
```

As for the formation energy: -0.2957 eV per atom. The calculation puts the theoretical density at 7.60 g cm⁻³.



(4)
Compound: BeNiPS2
Source: Alexandria via LeMat-Bulk
Functional: GGA-PBE
Structure: relaxed

The structure in POSCAR format:
```
BeNiPS2
1.0
-4.286 0.055 0.548
-0.505 -2.102 -3.741
0.206 -3.557 1.971
Ni S Be P
1 2 1 1
Direct
0.500 0.500 0.500 Ni
0.000 0.500 0.000 S
0.500 0.000 0.000 S
0.000 0.000 0.000 Be
0.000 0.000 0.500 P
```

The value obtained for the electronic total energy is -3.911 eV per atom. The calculation puts the theoretical density at 3.56 g cm⁻³.